# 1
Mn2SbIrSe, relaxed, DFT PBE-GGA; E_form (uncorrected) = 1.27 eV per atom; density = 7.60 g/cm3
1.0
4.610 0.000 0.000
0.000 5.167 0.000
0.000 0.000 4.610
Sb Ir Se Mn
1 1 1 2
Direct
0.000 0.500 0.000
0.000 0.000 0.000
0.500 0.500 0.500
0.000 0.000 0.500
0.500 0.000 0.000

# 2
CsNa2YF, relaxed, DFT PBE-GGA; E_form (uncorrected) = 0.70 eV per atom; energy relative to the lowest polymorph listed for this composition = 1.429 eV/atom; density = 1.52 g/cm3
1.0
-5.384 -3.751 1.471
2.355 -5.009 -4.155
3.317 -2.732 5.173
Cs Y F Na
1 1 1 2
Direct
0.000 0.000 0.000
0.000 0.500 0.000
0.500 0.500 0.500
0.000 0.000 0.500
0.500 0.000 0.000

# 3
Re2SiAg, relaxed, DFT PBE-GGA; E_form (uncorrected) = 0.40 eV per atom; density = 13.82 g/cm3
1.0
2.739 -0.018 0.000
-1.133 2.493 0.000
0.000 0.000 8.971
Ag Re Si
1 2 1
Direct
0.500 0.500 0.750
0.000 0.000 0.029
0.000 0.000 0.471
0.500 0.500 0.250

# 4
HgRu, relaxed, DFT PBE-GGA; density = 14.01 g/cm3; E_form = 0.413 eV per atom
1.0
-0.913 -1.683 -2.169
9.186 0.130 -3.970
0.667 -1.173 2.559
Hg Ru
2 2
Direct
0.009 0.026 0.017
0.241 0.724 0.483
0.492 0.475 0.983
0.758 0.275 0.517

Which value of density does entry 2 give?
1.52 g/cm3

What is the formula in the fourth record?
HgRu

What is the formula in the fourth record?
HgRu